{"formula": "Cu2NiBr", "functional": "GGA-PBE", "state": "optimized geometry", "formation_energy_uncorrected_ev_per_atom": 0.301, "energy_ev_per_cell": -14.44, "volume_a3_per_atom": 15.726, "e_above_lowest_polymorph_ev_per_atom": 0.055, "m_tot_mub_per_cell": 0.309, "space_group": "No. 47", "cell": [[3.209, 0.000, 0.000], [0.000, 2.977, -0.159], [0.000, 0.351, 6.567]], "species": ["Ni", "Cu", "Cu", "Br"], "fractional_positions": [[0.500, 0.250, 0.250], [0.000, 0.750, 0.439], [0.000, 0.750, 0.061], [0.500, 0.750, 0.750]]}



{"formula": "Cu2NiBr", "functional": "GGA-PBE", "state": "optimized geometry", "formation_energy_uncorrected_ev_per_atom": 0.517, "energy_ev_per_cell": -13.58, "volume_a3_per_atom": 14.228, "e_above_lowest_polymorph_ev_per_atom": 0.271, "m_tot_mub_per_cell": 0.000, "space_group": "No. 119", "cell": [[-0.439, -2.070, -4.256], [-1.497, -4.489, 0.446], [-1.590, 4.118, 1.761]], "species": ["Cu", "Cu", "Ni", "Br"], "fractional_positions": [[0.250, 0.750, 0.500], [0.000, 0.000, 0.000], [0.500, 0.500, 0.000], [0.750, 0.250, 0.500]]}



{"formula": "CuNi2Br8", "functional": "GGA-PBE", "state": "optimized geometry", "formation_energy_uncorrected_ev_per_atom": -0.201, "energy_ev_per_cell": -31.26, "volume_a3_per_atom": 36.586, "m_tot_mub_per_cell": 2.979, "space_group": "No. 12", "cell": [[8.957, 0.000, 0.000], [-4.479, 4.552, -1.246], [0.000, -0.424, 9.986]], "species": ["Br", "Br", "Br", "Br", "Br", "Br", "Br", "Br", "Ni", "Ni", "Cu"], "fractional_positions": [[0.221, 0.069, 0.182], [0.848, 0.069, 0.182], [0.344, 0.688, 0.392], [0.844, 0.687, 0.383], [0.779, 0.931, 0.818], [0.656, 0.312, 0.608], [0.152, 0.931, 0.818], [0.156, 0.313, 0.617], [0.092, 0.184, 0.369], [0.908, 0.816, 0.631], [0.000, 0.000, 0.000]]}



{"formula": "Cu2NiBr8", "functional": "GGA-PBE", "state": "optimized geometry", "formation_energy_uncorrected_ev_per_atom": -0.191, "energy_ev_per_cell": -29.45, "volume_a3_per_atom": 34.488, "e_above_lowest_polymorph_ev_per_atom": 0.000, "m_tot_mub_per_cell": 0.710, "space_group": "No. 12", "cell": [[6.394, -0.216, -1.368], [-1.883, 7.599, -0.710], [-0.288, 0.884, 7.806]], "species": ["Br", "Br", "Br", "Br", "Br", "Br", "Br", "Br", "Ni", "Cu", "Cu"], "fractional_positions": [[0.151, 0.058, 0.753], [0.346, 0.208, 0.208], [0.203, 0.578, 0.578], [0.797, 0.422, 0.422], [0.849, 0.942, 0.247], [0.654, 0.792, 0.792], [0.849, 0.247, 0.942], [0.151, 0.753, 0.058], [0.000, 0.000, 0.000], [0.698, 0.198, 0.198], [0.302, 0.802, 0.802]]}



{"formula": "Cu2NiBr8", "functional": "GGA-PBE", "state": "optimized geometry", "formation_energy_uncorrected_ev_per_atom": -0.174, "energy_ev_per_cell": -29.28, "volume_a3_per_atom": 31.800, "e_above_lowest_polymorph_ev_per_atom": 0.016, "m_tot_mub_per_cell": 1.868, "space_group": "No. 12", "cell": [[6.375, -0.185, -0.141], [-0.144, 7.770, 0.668], [-0.144, 2.736, 7.303]], "species": ["Cu", "Cu", "Br", "Br", "Br", "Br", "Br", "Br", "Br", "Br", "Ni"], "fractional_positions": [[0.561, 0.833, 0.833], [0.439, 0.167, 0.167], [0.812, 0.158, 0.158], [0.770, 0.721, 0.127], [0.230, 0.873, 0.279], [0.541, 0.656, 0.656], [0.188, 0.842, 0.842], [0.770, 0.127, 0.721], [0.459, 0.344, 0.344], [0.230, 0.279, 0.873], [0.000, 0.000, 0.000]]}



{"formula": "CuNiBr3", "functional": "GGA-PBE", "state": "optimized geometry", "formation_energy_uncorrected_ev_per_atom": 0.437, "energy_ev_per_cell": -12.71, "volume_a3_per_atom": 25.143, "e_above_lowest_polymorph_ev_per_atom": 0.692, "m_tot_mub_per_cell": 1.161, "space_group": "No. 221", "cell": [[-1.988, -2.712, 3.713], [4.100, 0.786, 2.769], [-2.082, 4.138, 1.908]], "species": ["Ni", "Br", "Br", "Br", "Cu"], "fractional_positions": [[0.500, 0.500, 0.500], [0.000, 0.000, 0.500], [0.500, 0.000, 0.000], [0.000, 0.500, 0.000], [0.000, 0.000, 0.000]]}



{"formula": "Cu2NiBr", "functional": "GGA-PBE", "state": "optimized geometry", "formation_energy_uncorrected_ev_per_atom": 0.501, "energy_ev_per_cell": -13.64, "volume_a3_per_atom": 14.261, "e_above_lowest_polymorph_ev_per_atom": 0.256, "m_tot_mub_per_cell": 0.000, "space_group": "No. 71", "cell": [[5.096, -0.010, -0.008], [2.480, 4.452, 0.008], [-3.472, -2.761, 2.509]], "species": ["Ni", "Cu", "Cu", "Br"], "fractional_positions": [[0.750, 0.250, 0.500], [0.508, 0.508, 0.000], [0.992, 0.992, 0.000], [0.250, 0.750, 0.500]]}



{"formula": "CuNiBr3", "functional": "GGA-PBE", "state": "optimized geometry", "formation_energy_uncorrected_ev_per_atom": -0.254, "energy_ev_per_cell": -64.67, "volume_a3_per_atom": 25.887, "e_above_lowest_polymorph_ev_per_atom": 0.000, "m_tot_mub_per_cell": 7.980, "space_group": "No. 14", "cell": [[6.612, 0.000, 0.109], [0.000, 7.292, 0.000], [0.102, 0.000, 10.740]], "species": ["Br", "Br", "Br", "Br", "Br", "Br", "Br", "Br", "Br", "Br", "Br", "Br", "Cu", "Cu", "Cu", "Cu", "Ni", "Ni", "Ni", "Ni"], "fractional_positions": [[0.469, 0.515, 0.654], [0.936, 0.748, 0.497], [0.064, 0.252, 0.503], [0.971, 0.514, 0.843], [0.564, 0.248, 0.003], [0.531, 0.485, 0.346], [0.969, 0.985, 0.154], [0.029, 0.486, 0.157], [0.529, 0.014, 0.657], [0.031, 0.015, 0.846], [0.436, 0.752, 0.997], [0.471, 0.986, 0.343], [0.398, 0.478, 0.136], [0.102, 0.978, 0.364], [0.898, 0.022, 0.636], [0.602, 0.522, 0.864], [0.940, 0.253, 0.001], [0.060, 0.747, 0.999], [0.560, 0.753, 0.499], [0.440, 0.247, 0.501]]}



Copy entry 7 word for word.
{"formula": "Cu2NiBr", "functional": "GGA-PBE", "state": "optimized geometry", "formation_energy_uncorrected_ev_per_atom": 0.501, "energy_ev_per_cell": -13.64, "volume_a3_per_atom": 14.261, "e_above_lowest_polymorph_ev_per_atom": 0.256, "m_tot_mub_per_cell": 0.000, "space_group": "No. 71", "cell": [[5.096, -0.010, -0.008], [2.480, 4.452, 0.008], [-3.472, -2.761, 2.509]], "species": ["Ni", "Cu", "Cu", "Br"], "fractional_positions": [[0.750, 0.250, 0.500], [0.508, 0.508, 0.000], [0.992, 0.992, 0.000], [0.250, 0.750, 0.500]]}